La5Bi2SeN | Alexandria | PBE-GGA | relaxed; formation energy without anion corrections = -1.156 eV/atom; space-group type = P4/mmm (123); Fermi-level density of states = 0.754 states/eV per atom; crystal system = tetragonal
1.0
4.8147 0.0000 0.0000
0.0000 4.8147 0.0000
0.0000 0.0000 11.9475
La Bi Se N
5 2 1 1
direct
0.0000 0.5000 0.5000
0.5000 0.0000 0.5000
0.0000 0.0000 0.7545
0.0000 0.0000 0.2455
0.5000 0.5000 0.0000
0.5000 0.5000 0.2833
0.5000 0.5000 0.7167
0.0000 0.0000 0.0000
0.0000 0.0000 0.5000